No. 1
DFT (PBE) results for an optimized crystal structure of Ac2Np2N5.

a = 4.257 Å, b = 6.722 Å, c = 6.595 Å
α = 113.09°, β = 90.00°, γ = 108.46°
Each line ends with the local moment (μB).
Fractional coordinates of all 9 atoms:
Np 0.134 0.268 0.847  2.60
N 0.000 0.000 0.000  -0.15
Ac 0.380 0.761 0.691  0.03
N 0.838 0.676 0.444  -0.11
N 0.672 0.345 0.954  -0.14
Ac 0.620 0.239 0.309  0.03
N 0.328 0.655 0.046  -0.14
Np 0.866 0.732 0.153  2.60
N 0.162 0.324 0.556  -0.11

Summary:
- total DFT energy (no corrections) (eV/atom) = -9.508
- relative energy among the computed polymorphs (eV/atom) = 0.050
- raw formation energy (eV/atom) = -1.094
- DOS(E_F) (states/eV/cell) = 11.8
- total magnetization (μB/f.u.) = 4.99

=====

No. 2
DFT (PBE) results for an optimized crystal structure of Ca3TcN.

a = 4.850 Å, b = 4.850 Å, c = 4.850 Å
α = 90.00°, β = 90.00°, γ = 90.00°
Each line ends with the local moment (μB).
Fractional coordinates of all 5 atoms:
Ca 0.500 0.000 0.000  -0.05
Ca 0.000 0.500 0.000  -0.03
Ca 0.000 0.000 0.500  -0.03
Tc 0.500 0.500 0.500  2.26
N 0.000 0.000 0.000  0.06

Summary:
- total DFT energy (no corrections) (eV/atom) = -4.808
- relative energy among the computed polymorphs (eV/atom) = 0.000
- raw formation energy (eV/atom) = 0.131
- DOS(E_F) (states/eV/cell) = 7.1
- total magnetization (μB/f.u.) = 2.32

=====

No. 3
DFT (PBE) results for an optimized crystal structure of YOs3Ru.

a = 4.741 Å, b = 4.741 Å, c = 4.741 Å
α = 90.00°, β = 90.00°, γ = 90.00°
Fractional coordinates of all 5 atoms:
Os 0.500 0.000 0.000
Y 0.000 0.000 0.000
Os 0.000 0.000 0.500
Os 0.000 0.500 0.000
Ru 0.500 0.500 0.500

Summary:
- energy of formation from the pure elements (meV/atom) = 3309
- total DFT energy (no corrections) (eV/atom) = -6.577
- relative energy among the computed polymorphs (eV/atom) = 1.928
- DOS(E_F) (states/eV/cell) = 8.1
- total magnetization (μB/f.u.) = 0.00

=====

- Look up the total magnetization of the third one.
  0.00 μB/f.u.

=====

Copy entry 2 word for word.
DFT (PBE) results for an optimized crystal structure of Ca3TcN.

a = 4.850 Å, b = 4.850 Å, c = 4.850 Å
α = 90.00°, β = 90.00°, γ = 90.00°
Each line ends with the local moment (μB).
Fractional coordinates of all 5 atoms:
Ca 0.500 0.000 0.000  -0.05
Ca 0.000 0.500 0.000  -0.03
Ca 0.000 0.000 0.500  -0.03
Tc 0.500 0.500 0.500  2.26
N 0.000 0.000 0.000  0.06

Summary:
- total DFT energy (no corrections) (eV/atom) = -4.808
- relative energy among the computed polymorphs (eV/atom) = 0.000
- raw formation energy (eV/atom) = 0.131
- DOS(E_F) (states/eV/cell) = 7.1
- total magnetization (μB/f.u.) = 2.32

=====

What did the third record say?
DFT (PBE) results for an optimized crystal structure of YOs3Ru.

a = 4.741 Å, b = 4.741 Å, c = 4.741 Å
α = 90.00°, β = 90.00°, γ = 90.00°
Fractional coordinates of all 5 atoms:
Os 0.500 0.000 0.000
Y 0.000 0.000 0.000
Os 0.000 0.000 0.500
Os 0.000 0.500 0.000
Ru 0.500 0.500 0.500

Summary:
- energy of formation from the pure elements (meV/atom) = 3309
- total DFT energy (no corrections) (eV/atom) = -6.577
- relative energy among the computed polymorphs (eV/atom) = 1.928
- DOS(E_F) (states/eV/cell) = 8.1
- total magnetization (μB/f.u.) = 0.00